## LaSe (PBE-GGA)

Data for a relaxed LaSe crystal.

Structure (POSCAR):
```
LaSe
1.0
14.7228 0.0000 0.0000
0.0000 4.1394 0.0000
0.0000 0.0000 5.9879
La Se
6 6
Cartesian
4.4675 2.0697 4.5253
2.8939 0.0000 1.5314
11.8289 0.0000 1.5314
0.0000 2.0697 4.0576
10.2553 2.0697 4.5253
7.3614 0.0000 1.0636
0.0000 0.0000 1.7376
7.3614 2.0697 4.7315
12.4475 0.0000 4.5588
2.2753 0.0000 4.5588
9.6367 2.0697 1.5649
5.0861 2.0697 1.5649
```

Summary:
V ... 364.9 Å³/cell
ρ ... 5.95 g cm⁻³
Total DFT energy (no corrections) ... -5.9609 eV/atom
Symmetry ... Imm2, No. 44
Magnetization ... 0.000 Bohr magnetons per cell
ΔE_f (raw) ... -1.755 eV/atom